A relaxed Mg2Tl3CrF9 crystal, computed with PBE with a Hubbard U.

Geometry as POSCAR:
```
Mg2Tl3CrF9
1.0
5.921 0.000 0.000
-2.960 5.128 0.000
0.000 0.000 7.262
Mg Tl Cr F
2 3 1 9
Cartesian
0.000 3.418 1.161 Mg
2.960 1.709 6.101 Mg
0.000 0.000 0.000 Tl
0.000 3.418 4.824 Tl
2.960 1.709 2.438 Tl
0.000 0.000 3.631 Cr
-1.480 2.564 0.000 F
0.000 1.755 2.373 F
-1.441 4.250 2.373 F
1.520 0.878 4.890 F
2.960 0.000 0.000 F
1.480 2.564 0.000 F
1.441 4.250 2.373 F
4.401 0.878 4.890 F
2.960 3.373 4.890 F
```

Properties
Electronic total energy, eV per atom: -4.91
Total moment, Bohr magnetons per cell: 4.00
Fermi-level density of states, states/eV/cell: 5.8